Entry from the Alexandria database: crystalline K3Cd4Pt2 at its relaxed geometry (PBE).

The formation energy is -0.142 eV/atom.

Cell: 12.3370 4.9084 9.8469 Å, 90.00 111.42 90.00°
Last column: nearest neighbours and their distance in Å.
Space group C2/m (No. 12)
Asymmetric unit:
K  0.0000  0.0000  0.0000 [2 per cell]  8 Cd 3.54-3.89, 4 Pt 3.84
K  0.1087  0.5000  0.6812 [4 per cell]  3 Pt 3.37-3.73, 6 Cd 3.41-3.74, 1 K 3.60
Cd  0.1553  0.0000  0.4218 [4 per cell]  3 Pt 2.71-2.80
Cd  0.2209  0.5000  0.0721 [4 per cell]  1 Pt 2.68
Pt  0.1605  0.5000  0.3069 [4 per cell]  4 Cd 2.68-2.80